YTmAsP: optimized geometry, GGA-PBE.

* crystal system: tetragonal
* E_form: -1560 meV per atom
* total magnetization: 0.00 μB/f.u.
* VASP energy: -27.24 eV/f.u.

The structure in CIF format:
```
data_YTmAsP
_space_group_name_H-M_alt 'P 1'
_space_group_IT_number 1
_space_group_name_Hall 'P 1'
_cell_length_a 4.040
_cell_length_b 4.040
_cell_length_c 5.709
_cell_angle_alpha 90.00
_cell_angle_beta 90.00
_cell_angle_gamma 90.00
loop_
_atom_site_label
_atom_site_type_symbol
_atom_site_fract_x
_atom_site_fract_y
_atom_site_fract_z
Y1 Y 0.000 0.892 0.592
Tm1 Tm 0.500 0.391 0.093
As1 As 0.500 0.392 0.593
P1 P 0.000 0.891 0.092
```


TmZrAsP: optimized geometry, GGA-PBE.

* crystal system: trigonal
* E_form: -1307 meV per atom
* total magnetization: 0.00 μB/f.u.
* VASP energy: -28.31 eV/f.u.

The structure in CIF format:
```
data_TmZrAsP
_space_group_name_H-M_alt 'P 1'
_space_group_IT_number 1
_space_group_name_Hall 'P 1'
_cell_length_a 3.826
_cell_length_b 3.828
_cell_length_c 7.042
_cell_angle_alpha 90.00
_cell_angle_beta 105.76
_cell_angle_gamma 120.01
loop_
_atom_site_label
_atom_site_type_symbol
_atom_site_fract_x
_atom_site_fract_y
_atom_site_fract_z
Tm1 Tm 0.956 0.376 0.347
Zr1 Zr 0.317 0.556 0.888
As1 As 0.479 0.137 0.631
P1 P 0.126 0.961 0.103
```


U8As5P3: optimized geometry, GGA-PBE.

* crystal system: trigonal
* E_form: -804 meV per atom
* total magnetization: 18.36 μB/f.u.
* VASP energy: -142.65 eV/f.u.

The structure in CIF format:
```
data_U8As5P3
_space_group_name_H-M_alt 'P 1'
_space_group_IT_number 1
_space_group_name_Hall 'P 1'
_cell_length_a 8.044
_cell_length_b 8.044
_cell_length_c 8.073
_cell_angle_alpha 60.12
_cell_angle_beta 60.12
_cell_angle_gamma 60.00
loop_
_atom_site_label
_atom_site_type_symbol
_atom_site_fract_x
_atom_site_fract_y
_atom_site_fract_z
U1 U 0.250 0.250 0.741
U2 U 0.250 0.759 0.741
U3 U 0.759 0.250 0.741
U4 U 0.755 0.755 0.736
U5 U 0.750 0.750 0.259
U6 U 0.750 0.241 0.259
U7 U 0.241 0.750 0.259
U8 U 0.245 0.245 0.264
As1 As 0.500 0.000 0.000
As2 As 0.500 0.500 0.000
As3 As 0.000 0.000 0.000
As4 As 0.000 0.500 0.000
As5 As 0.500 0.500 0.500
P1 P 0.500 0.000 0.500
P2 P 0.000 0.000 0.500
P3 P 0.000 0.500 0.500
```


UAsP: optimized geometry, GGA-PBE.

* crystal system: orthorhombic
* E_form: -139 meV per atom
* E above lowest polymorph: 640.3 meV per atom
* total magnetization: 0.38 μB/f.u.
* VASP energy: -21.76 eV/f.u.

The structure in CIF format:
```
data_UAsP
_space_group_name_H-M_alt 'P 1'
_space_group_IT_number 1
_space_group_name_Hall 'P 1'
_cell_length_a 6.756
_cell_length_b 6.756
_cell_length_c 7.849
_cell_angle_alpha 106.60
_cell_angle_beta 106.60
_cell_angle_gamma 109.64
loop_
_atom_site_label
_atom_site_type_symbol
_atom_site_fract_x
_atom_site_fract_y
_atom_site_fract_z
U1 U 0.788 0.212 0.000
U2 U 0.038 0.962 0.500
U3 U 0.212 0.788 0.000
U4 U 0.462 0.538 0.500
As1 As 0.886 0.886 0.772
As2 As 0.114 0.114 0.228
As3 As 0.136 0.636 0.272
As4 As 0.364 0.864 0.728
P1 P 0.625 0.375 0.750
P2 P 0.125 0.375 0.750
P3 P 0.625 0.875 0.250
P4 P 0.625 0.375 0.250
```


U4AsP4: optimized geometry, GGA-PBE.

* crystal system: tetragonal
* E_form: -670 meV per atom
* total magnetization: 8.11 μB/f.u.
* VASP energy: -77.47 eV/f.u.

The structure in CIF format:
```
data_U4AsP4
_space_group_name_H-M_alt 'P 1'
_space_group_IT_number 1
_space_group_name_Hall 'P 1'
_cell_length_a 5.516
_cell_length_b 6.870
_cell_length_c 6.870
_cell_angle_alpha 80.73
_cell_angle_beta 66.33
_cell_angle_gamma 66.33
loop_
_atom_site_label
_atom_site_type_symbol
_atom_site_fract_x
_atom_site_fract_y
_atom_site_fract_z
U1 U 0.698 0.410 0.194
U2 U 0.302 0.590 0.806
U3 U 0.892 0.806 0.410
U4 U 0.108 0.194 0.590
As1 As 0.000 0.000 0.000
P1 P 0.812 0.584 0.793
P2 P 0.188 0.416 0.207
P3 P 0.605 0.207 0.584
P4 P 0.395 0.793 0.416
```


U3As2P: optimized geometry, GGA-PBE.

* crystal system: monoclinic
* E_form: -795 meV per atom
* total magnetization: 6.95 μB/f.u.
* VASP energy: -53.35 eV/f.u.

The structure in CIF format:
```
data_U3As2P
_space_group_name_H-M_alt 'P 1'
_space_group_IT_number 1
_space_group_name_Hall 'P 1'
_cell_length_a 6.983
_cell_length_b 6.983
_cell_length_c 7.004
_cell_angle_alpha 99.57
_cell_angle_beta 99.57
_cell_angle_gamma 120.04
loop_
_atom_site_label
_atom_site_type_symbol
_atom_site_fract_x
_atom_site_fract_y
_atom_site_fract_z
U1 U 0.595 0.929 0.761
U2 U 0.071 0.405 0.239
U3 U 0.912 0.586 0.758
U4 U 0.252 0.245 0.758
U5 U 0.414 0.088 0.242
U6 U 0.755 0.748 0.242
As1 As 0.833 0.167 0.500
As2 As 0.333 0.667 0.000
As3 As 0.171 0.829 0.500
As4 As 0.496 0.504 0.500
P1 P 0.001 0.999 0.000
P2 P 0.666 0.334 0.000
```


U2AsP: optimized geometry, GGA-PBE.

* crystal system: trigonal
* E_form: -668 meV per atom
* total magnetization: 5.31 μB/f.u.
* VASP energy: -35.31 eV/f.u.

The structure in CIF format:
```
data_U2AsP
_space_group_name_H-M_alt 'P 1'
_space_group_IT_number 1
_space_group_name_Hall 'P 1'
_cell_length_a 3.860
_cell_length_b 3.860
_cell_length_c 7.544
_cell_angle_alpha 75.18
_cell_angle_beta 75.18
_cell_angle_gamma 60.00
loop_
_atom_site_label
_atom_site_type_symbol
_atom_site_fract_x
_atom_site_fract_y
_atom_site_fract_z
U1 U 0.085 0.085 0.746
U2 U 0.249 0.249 0.254
As1 As 0.668 0.668 0.997
P1 P 0.499 0.499 0.503
```


UAsP: optimized geometry, GGA-PBE.

* crystal system: tetragonal
* E_form: -779 meV per atom
* E above lowest polymorph: 0.0 meV per atom
* total magnetization: 1.53 μB/f.u.
* VASP energy: -23.68 eV/f.u.

The structure in CIF format:
```
data_UAsP
_space_group_name_H-M_alt 'P 1'
_space_group_IT_number 1
_space_group_name_Hall 'P 1'
_cell_length_a 3.860
_cell_length_b 3.860
_cell_length_c 7.967
_cell_angle_alpha 90.00
_cell_angle_beta 90.00
_cell_angle_gamma 90.00
loop_
_atom_site_label
_atom_site_type_symbol
_atom_site_fract_x
_atom_site_fract_y
_atom_site_fract_z
U1 U 0.000 0.500 0.704
U2 U 0.500 0.000 0.296
As1 As 0.000 0.000 0.000
As2 As 0.500 0.500 0.000
P1 P 0.000 0.500 0.357
P2 P 0.500 0.000 0.643
```


U4AsP3: optimized geometry, GGA-PBE.

* crystal system: cubic
* E_form: -887 meV per atom
* total magnetization: 9.20 μB/f.u.
* VASP energy: -73.13 eV/f.u.

The structure in CIF format:
```
data_U4AsP3
_space_group_name_H-M_alt 'P 1'
_space_group_IT_number 1
_space_group_name_Hall 'P 1'
_cell_length_a 5.629
_cell_length_b 5.629
_cell_length_c 5.629
_cell_angle_alpha 90.00
_cell_angle_beta 90.00
_cell_angle_gamma 90.00
loop_
_atom_site_label
_atom_site_type_symbol
_atom_site_fract_x
_atom_site_fract_y
_atom_site_fract_z
P1 P 0.000 0.500 0.500
P2 P 0.500 0.000 0.500
P3 P 0.500 0.500 0.000
As1 As 0.000 0.000 0.000
U1 U 0.500 0.000 0.000
U2 U 0.000 0.500 0.000
U3 U 0.000 0.000 0.500
U4 U 0.500 0.500 0.500
```


U4As3P: optimized geometry, GGA-PBE.

* crystal system: monoclinic
* E_form: -774 meV per atom
* total magnetization: 9.32 μB/f.u.
* VASP energy: -70.70 eV/f.u.

The structure in CIF format:
```
data_U4As3P
_space_group_name_H-M_alt 'P 1'
_space_group_IT_number 1
_space_group_name_Hall 'P 1'
_cell_length_a 7.005
_cell_length_b 7.019
_cell_length_c 8.091
_cell_angle_alpha 90.00
_cell_angle_beta 90.00
_cell_angle_gamma 109.42
loop_
_atom_site_label
_atom_site_type_symbol
_atom_site_fract_x
_atom_site_fract_y
_atom_site_fract_z
P1 P 0.750 0.000 0.875
P2 P 0.250 0.000 0.125
As1 As 0.750 0.000 0.375
As2 As 0.250 0.000 0.625
As3 As 0.750 0.500 0.625
As4 As 0.750 0.500 0.125
As5 As 0.250 0.500 0.375
As6 As 0.250 0.500 0.875
U1 U 0.995 0.246 0.630
U2 U 0.500 0.240 0.880
U3 U 0.495 0.246 0.370
U4 U 0.000 0.240 0.120
U5 U 0.000 0.760 0.880
U6 U 0.505 0.754 0.630
U7 U 0.500 0.760 0.120
U8 U 0.005 0.754 0.370
```


U4As3P2: optimized geometry, GGA-PBE.

* crystal system: monoclinic
* E_form: -594 meV per atom
* total magnetization: 10.19 μB/f.u.
* VASP energy: -75.26 eV/f.u.

The structure in CIF format:
```
data_U4As3P2
_space_group_name_H-M_alt 'P 1'
_space_group_IT_number 1
_space_group_name_Hall 'P 1'
_cell_length_a 3.769
_cell_length_b 7.369
_cell_length_c 8.906
_cell_angle_alpha 123.69
_cell_angle_beta 90.00
_cell_angle_gamma 104.82
loop_
_atom_site_label
_atom_site_type_symbol
_atom_site_fract_x
_atom_site_fract_y
_atom_site_fract_z
U1 U 0.677 0.353 0.076
U2 U 0.323 0.647 0.924
U3 U 0.948 0.896 0.623
U4 U 0.052 0.104 0.377
As1 As 0.632 0.265 0.710
As2 As 0.000 0.000 0.000
As3 As 0.368 0.735 0.290
P1 P 0.709 0.418 0.406
P2 P 0.291 0.582 0.594
```


U5As4P: optimized geometry, GGA-PBE.

* crystal system: tetragonal
* E_form: -760 meV per atom
* total magnetization: 12.09 μB/f.u.
* VASP energy: -88.05 eV/f.u.

The structure in CIF format:
```
data_U5As4P
_space_group_name_H-M_alt 'P 1'
_space_group_IT_number 1
_space_group_name_Hall 'P 1'
_cell_length_a 5.744
_cell_length_b 7.030
_cell_length_c 7.030
_cell_angle_alpha 80.39
_cell_angle_beta 65.89
_cell_angle_gamma 65.89
loop_
_atom_site_label
_atom_site_type_symbol
_atom_site_fract_x
_atom_site_fract_y
_atom_site_fract_z
U1 U 0.902 0.391 0.807
U2 U 0.293 0.807 0.609
U3 U 0.709 0.193 0.391
U4 U 0.100 0.609 0.193
U5 U 0.501 0.000 0.000
As1 As 0.405 0.398 0.794
As2 As 0.803 0.794 0.602
As3 As 0.199 0.206 0.398
As4 As 0.597 0.602 0.206
P1 P 0.001 0.000 0.000
```


U2AsP: optimized geometry, GGA-PBE.

* crystal system: tetragonal
* E_form: -829 meV per atom
* total magnetization: 4.63 μB/f.u.
* VASP energy: -35.95 eV/f.u.

The structure in CIF format:
```
data_U2AsP
_space_group_name_H-M_alt 'P 1'
_space_group_IT_number 1
_space_group_name_Hall 'P 1'
_cell_length_a 5.680
_cell_length_b 5.680
_cell_length_c 6.947
_cell_angle_alpha 65.90
_cell_angle_beta 65.90
_cell_angle_gamma 90.02
loop_
_atom_site_label
_atom_site_type_symbol
_atom_site_fract_x
_atom_site_fract_y
_atom_site_fract_z
U1 U 0.130 0.880 0.740
U2 U 0.870 0.120 0.260
U3 U 0.620 0.370 0.760
U4 U 0.380 0.630 0.240
As1 As 0.125 0.375 0.750
As2 As 0.875 0.625 0.250
P1 P 0.625 0.875 0.750
P2 P 0.375 0.125 0.250
```


UAsP: optimized geometry, GGA-PBE.

* crystal system: trigonal
* E_form: -202 meV per atom
* E above lowest polymorph: 577.3 meV per atom
* total magnetization: 0.00 μB/f.u.
* VASP energy: -21.95 eV/f.u.

The structure in CIF format:
```
data_UAsP
_space_group_name_H-M_alt 'P 1'
_space_group_IT_number 1
_space_group_name_Hall 'P 1'
_cell_length_a 3.740
_cell_length_b 4.393
_cell_length_c 4.393
_cell_angle_alpha 120.00
_cell_angle_beta 90.00
_cell_angle_gamma 90.00
loop_
_atom_site_label
_atom_site_type_symbol
_atom_site_fract_x
_atom_site_fract_y
_atom_site_fract_z
P1 P 0.102 0.000 0.000
As1 As 0.685 0.333 0.667
U1 U 0.213 0.667 0.333
```


U2AsP: optimized geometry, GGA-PBE.

* crystal system: tetragonal
* E_form: -819 meV per atom
* total magnetization: 4.62 μB/f.u.
* VASP energy: -35.91 eV/f.u.

The structure in CIF format:
```
data_U2AsP
_space_group_name_H-M_alt 'P 1'
_space_group_IT_number 1
_space_group_name_Hall 'P 1'
_cell_length_a 4.016
_cell_length_b 4.016
_cell_length_c 5.678
_cell_angle_alpha 90.00
_cell_angle_beta 90.00
_cell_angle_gamma 90.00
loop_
_atom_site_label
_atom_site_type_symbol
_atom_site_fract_x
_atom_site_fract_y
_atom_site_fract_z
U1 U 0.000 0.000 0.500
U2 U 0.500 0.500 0.000
As1 As 0.500 0.500 0.500
P1 P 0.000 0.000 0.000
```


U2AsP: optimized geometry, GGA-PBE.

* crystal system: trigonal
* E_form: -840 meV per atom
* total magnetization: 4.37 μB/f.u.
* VASP energy: -36.00 eV/f.u.

The structure in CIF format:
```
data_U2AsP
_space_group_name_H-M_alt 'P 1'
_space_group_IT_number 1
_space_group_name_Hall 'P 1'
_cell_length_a 3.996
_cell_length_b 3.996
_cell_length_c 6.966
_cell_angle_alpha 73.33
_cell_angle_beta 73.33
_cell_angle_gamma 60.00
loop_
_atom_site_label
_atom_site_type_symbol
_atom_site_fract_x
_atom_site_fract_y
_atom_site_fract_z
P1 P 0.500 0.500 0.500
As1 As 0.000 0.000 0.000
U1 U 0.755 0.755 0.736
U2 U 0.245 0.245 0.264
```


U4AsP2: optimized geometry, GGA-PBE.

* crystal system: orthorhombic
* E_form: -583 meV per atom
* total magnetization: 7.26 μB/f.u.
* VASP energy: -64.71 eV/f.u.

The structure in CIF format:
```
data_U4AsP2
_space_group_name_H-M_alt 'P 1'
_space_group_IT_number 1
_space_group_name_Hall 'P 1'
_cell_length_a 3.812
_cell_length_b 7.025
_cell_length_c 12.204
_cell_angle_alpha 90.00
_cell_angle_beta 90.00
_cell_angle_gamma 105.74
loop_
_atom_site_label
_atom_site_type_symbol
_atom_site_fract_x
_atom_site_fract_y
_atom_site_fract_z
U1 U 0.765 0.530 0.147
U2 U 0.765 0.530 0.353
U3 U 0.235 0.470 0.853
U4 U 0.235 0.470 0.647
U5 U 0.936 0.873 0.750
U6 U 0.064 0.127 0.250
U7 U 0.500 0.000 0.000
U8 U 0.500 0.000 0.500
As1 As 0.595 0.190 0.750
As2 As 0.405 0.810 0.250
P1 P 0.144 0.287 0.451
P2 P 0.856 0.713 0.951
P3 P 0.144 0.287 0.049
P4 P 0.856 0.713 0.549
```


UAsP: optimized geometry, GGA-PBE.

* crystal system: tetragonal
* E_form: -488 meV per atom
* E above lowest polymorph: 291.1 meV per atom
* total magnetization: 1.78 μB/f.u.
* VASP energy: -22.81 eV/f.u.

The structure in CIF format:
```
data_UAsP
_space_group_name_H-M_alt 'P 1'
_space_group_IT_number 1
_space_group_name_Hall 'P 1'
_cell_length_a 3.757
_cell_length_b 3.757
_cell_length_c 5.087
_cell_angle_alpha 111.67
_cell_angle_beta 111.67
_cell_angle_gamma 90.00
loop_
_atom_site_label
_atom_site_type_symbol
_atom_site_fract_x
_atom_site_fract_y
_atom_site_fract_z
P1 P 0.037 0.037 0.075
As1 As 0.309 0.309 0.617
U1 U 0.654 0.654 0.308
```


U2AsP: optimized geometry, GGA-PBE.

* crystal system: tetragonal
* E_form: -649 meV per atom
* total magnetization: 5.59 μB/f.u.
* VASP energy: -35.23 eV/f.u.

The structure in CIF format:
```
data_U2AsP
_space_group_name_H-M_alt 'P 1'
_space_group_IT_number 1
_space_group_name_Hall 'P 1'
_cell_length_a 3.449
_cell_length_b 3.449
_cell_length_c 6.917
_cell_angle_alpha 90.00
_cell_angle_beta 90.00
_cell_angle_gamma 90.00
loop_
_atom_site_label
_atom_site_type_symbol
_atom_site_fract_x
_atom_site_fract_y
_atom_site_fract_z
P1 P 0.500 0.500 0.000
As1 As 0.500 0.500 0.500
U1 U 0.000 0.000 0.758
U2 U 0.000 0.000 0.242
```


U6As4P: optimized geometry, GGA-PBE.

* crystal system: trigonal
* E_form: -517 meV per atom
* total magnetization: 7.22 μB/f.u.
* VASP energy: -97.42 eV/f.u.

The structure in CIF format:
```
data_U6As4P
_space_group_name_H-M_alt 'P 1'
_space_group_IT_number 1
_space_group_name_Hall 'P 1'
_cell_length_a 7.769
_cell_length_b 7.769
_cell_length_c 7.769
_cell_angle_alpha 90.74
_cell_angle_beta 90.74
_cell_angle_gamma 89.26
loop_
_atom_site_label
_atom_site_type_symbol
_atom_site_fract_x
_atom_site_fract_y
_atom_site_fract_z
U1 U 0.647 0.045 0.055
U2 U 0.055 0.353 0.045
U3 U 0.555 0.455 0.147
U4 U 0.955 0.055 0.647
U5 U 0.545 0.147 0.555
U6 U 0.147 0.445 0.455
U7 U 0.853 0.555 0.545
U8 U 0.455 0.853 0.445
U9 U 0.045 0.945 0.353
U10 U 0.445 0.545 0.853
U11 U 0.945 0.647 0.955
U12 U 0.353 0.955 0.945
As1 As 0.335 0.165 0.250
As2 As 0.835 0.250 0.335
As3 As 0.250 0.665 0.165
As4 As 0.250 0.250 0.750
As5 As 0.750 0.750 0.250
As6 As 0.750 0.335 0.835
As7 As 0.165 0.750 0.665
As8 As 0.665 0.835 0.750
P1 P 0.500 0.500 0.500
P2 P 0.000 0.000 0.000
```